1.
CePr2SmN4: optimized geometry, PBE-GGA.

## Properties
Calculated density: 7.73 Mg/m³

Cell and atoms, written as POSCAR:
```
CePr2SmN4
1.0
-3.6260 -0.1112 -0.1443
0.1283 -6.0899 1.4702
-0.3142 3.4031 5.2732
Pr Ce N Sm
2 1 4 1
Direct
0.0000 0.5000 0.5000 Pr
0.5000 0.0000 0.5000 Pr
0.0000 0.0000 0.0000 Ce
0.5000 0.7606 0.7658 N
0.5000 0.2394 0.2342 N
0.0000 0.2466 0.7631 N
0.0000 0.7534 0.2369 N
0.5000 0.5000 0.0000 Sm
```

2.
Ce2Pr3SmN6: optimized geometry, PBE-GGA.

## Properties
Calculated density: 7.70 Mg/m³

Cell and atoms, written as POSCAR:
```
Ce2Pr3SmN6
1.0
-0.8089 6.1385 1.0179
-3.8108 -3.0566 -3.9378
-2.1229 -2.2564 5.4726
N Pr Ce Sm
6 3 2 1
Direct
0.9221 0.5809 0.7662 N
0.0779 0.4191 0.2338 N
0.7365 0.7365 0.2334 N
0.5809 0.9221 0.7662 N
0.2635 0.2635 0.7666 N
0.4191 0.0779 0.2338 N
0.5000 0.5000 0.5000 Pr
0.1664 0.8336 0.5000 Pr
0.8336 0.1664 0.5000 Pr
0.6668 0.3332 0.0000 Ce
0.3332 0.6668 0.0000 Ce
0.0000 0.0000 0.0000 Sm
```

3.
CePrSm2N4: optimized geometry, PBE-GGA.

## Properties
Calculated density: 8.00 Mg/m³

Cell and atoms, written as POSCAR:
```
CePrSm2N4
1.0
3.6082 0.0000 0.0000
0.0000 6.2379 0.1186
0.0000 -2.1730 5.8374
Sm Pr N Ce
2 1 4 1
Direct
0.5000 0.0000 0.5000 Sm
0.0000 0.5000 0.5000 Sm
0.5000 0.5000 0.0000 Pr
0.5000 0.7597 0.7547 N
0.0000 0.2392 0.7511 N
0.5000 0.2403 0.2453 N
0.0000 0.7608 0.2489 N
0.0000 0.0000 0.0000 Ce
```

4.
CePrSmN3: optimized geometry, PBE-GGA.

## Properties
Calculated density: 7.79 Mg/m³

Cell and atoms, written as POSCAR:
```
CePrSmN3
1.0
-0.1101 -3.2034 -1.5843
-1.9413 -2.5427 5.2761
-8.0859 2.2865 -4.0612
N Ce Pr Sm
6 2 2 2
Direct
0.7500 0.0407 0.1583 N
0.7500 0.5434 0.1697 N
0.7500 0.2497 0.5065 N
0.2500 0.4566 0.8303 N
0.2500 0.7503 0.4935 N
0.2500 0.9593 0.8417 N
0.7500 0.8500 0.3562 Ce
0.2500 0.1500 0.6438 Ce
0.2500 0.3375 0.3027 Pr
0.7500 0.6625 0.6973 Pr
0.7500 0.2328 0.9552 Sm
0.2500 0.7672 0.0448 Sm
```

5.
CePr2SnN: optimized geometry, PBE-GGA.

## Properties
Calculated density: 7.32 Mg/m³

Cell and atoms, written as POSCAR:
```
CePr2SnN
1.0
-2.1621 -3.9496 1.7581
2.1631 -2.8144 -3.6626
4.0163 -0.8515 3.0263
N Pr Sn Ce
1 2 1 1
Direct
0.0000 0.0000 0.0000 N
0.0000 0.5000 0.0000 Pr
0.0000 0.0000 0.5000 Pr
0.5000 0.5000 0.5000 Sn
0.5000 0.0000 0.0000 Ce
```

6.
Ce2Pr4Sn3N2: optimized geometry, PBE-GGA.

## Properties
Calculated density: 6.50 Mg/m³

Cell and atoms, written as POSCAR:
```
Ce2Pr4Sn3N2
1.0
4.9320 0.0000 0.0000
0.0000 4.9320 0.0000
-2.4660 -2.4660 12.8968
Ce Sn N Pr
2 3 2 4
Direct
0.3070 0.3070 0.6139 Ce
0.6930 0.6930 0.3861 Ce
0.1779 0.1779 0.3558 Sn
0.8221 0.8221 0.6442 Sn
0.0000 0.0000 0.0000 Sn
0.3904 0.3904 0.7808 N
0.6096 0.6096 0.2192 N
0.0841 0.5841 0.1683 Pr
0.4159 0.9159 0.8317 Pr
0.5841 0.0841 0.1683 Pr
0.9159 0.4159 0.8317 Pr
```

7.
SrCe2PrN4: optimized geometry, PBE-GGA.

## Properties
Calculated density: 6.88 Mg/m³

Cell and atoms, written as POSCAR:
```
SrCe2PrN4
1.0
7.2779 0.0076 -0.0122
0.0024 7.2779 -0.0122
-3.6238 -3.6263 5.1620
Ce N Sr Pr
4 8 2 2
Direct
0.5000 0.5000 0.0000 Ce
0.5000 0.0000 0.5000 Ce
0.0000 0.0000 0.5000 Ce
0.5000 0.0000 0.0000 Ce
0.2615 0.2385 0.5127 N
0.2853 0.7695 0.0274 N
0.7385 0.7615 0.4873 N
0.2615 0.2385 0.9873 N
0.7305 0.2147 0.4726 N
0.7385 0.7615 0.0127 N
0.7147 0.2305 0.9726 N
0.2695 0.7853 0.5274 N
0.0000 0.5000 0.0000 Sr
0.0000 0.5000 0.5000 Sr
0.0000 0.0000 0.0000 Pr
0.5000 0.5000 0.5000 Pr
```

8.
SrCePr2N4: optimized geometry, PBE-GGA.

## Properties
Calculated density: 6.67 Mg/m³

Cell and atoms, written as POSCAR:
```
SrCePr2N4
1.0
3.6934 0.0000 0.0000
0.0000 6.3337 -0.1577
0.0000 2.1998 5.9646
Pr Ce Sr N
2 1 1 4
Direct
0.0000 0.0000 0.0000 Pr
0.5000 0.0000 0.5000 Pr
0.5000 0.5000 0.0000 Ce
0.0000 0.5000 0.5000 Sr
0.5000 0.2571 0.7826 N
0.5000 0.7429 0.2174 N
0.0000 0.7526 0.7579 N
0.0000 0.2474 0.2421 N
```

9.
Sr3Ce2PrN6: optimized geometry, PBE-GGA.

## Properties
Calculated density: 6.02 Mg/m³

Cell and atoms, written as POSCAR:
```
Sr3Ce2PrN6
1.0
-0.7754 -5.8632 2.3524
5.6762 2.8563 0.3667
-3.1578 3.3499 4.4500
N Pr Sr Ce
6 1 3 2
Direct
0.7232 0.7232 0.2131 N
0.0708 0.4189 0.2114 N
0.5811 0.9292 0.7886 N
0.2768 0.2768 0.7869 N
0.4189 0.0708 0.2114 N
0.9292 0.5811 0.7886 N
0.0000 0.0000 0.0000 Pr
0.1673 0.8327 0.5000 Sr
0.8327 0.1673 0.5000 Sr
0.5000 0.5000 0.5000 Sr
0.6669 0.3331 0.0000 Ce
0.3331 0.6669 0.0000 Ce
```

10.
Ce3Pr2TaN6: optimized geometry, PBE-GGA.

## Properties
Calculated density: 8.73 Mg/m³

Cell and atoms, written as POSCAR:
```
Ce3Pr2TaN6
1.0
-2.1255 -3.1227 -4.8103
-1.9421 -1.3714 5.6352
-2.8889 5.2253 -0.8253
Pr N Ce Ta
2 6 3 1
Direct
0.3333 0.6667 0.0000 Pr
0.6667 0.3333 0.0000 Pr
0.9215 0.6309 0.7644 N
0.6309 0.9215 0.7644 N
0.7875 0.7875 0.2431 N
0.3691 0.0785 0.2356 N
0.2125 0.2125 0.7569 N
0.0785 0.3691 0.2356 N
0.8341 0.1659 0.5000 Ce
0.1659 0.8341 0.5000 Ce
0.5000 0.5000 0.5000 Ce
0.0000 0.0000 0.0000 Ta
```

11.
CePrTaN4: optimized geometry, PBE-GGA.

## Properties
Calculated density: 8.39 Mg/m³

Cell and atoms, written as POSCAR:
```
CePrTaN4
1.0
5.7187 0.0000 0.0000
0.0000 5.7403 0.0000
-2.8594 0.0000 6.2450
Ta N Ce Pr
2 8 2 2
Direct
0.2620 0.7500 0.5241 Ta
0.7380 0.2500 0.4759 Ta
0.5799 0.2500 0.1599 N
0.0000 0.5000 0.5000 N
0.4201 0.7500 0.8401 N
0.5000 0.0000 0.5000 N
0.9334 0.2500 0.8669 N
0.5000 0.5000 0.5000 N
0.0666 0.7500 0.1331 N
0.0000 0.0000 0.5000 N
0.8972 0.7500 0.7944 Ce
0.1028 0.2500 0.2056 Ce
0.3905 0.2500 0.7811 Pr
0.6095 0.7500 0.2189 Pr
```

Number 1: calculated total energy -8.100 eV/atom, formation energy (no corrections) -1.41 eV per atom. Number 2: calculated total energy -8.159 eV/atom, formation energy (no corrections) -1.42 eV per atom. Number 3: calculated total energy -8.131 eV/atom, formation energy (no corrections) -1.45 eV per atom. Number 4: calculated total energy -8.004 eV/atom, formation energy (no corrections) -1.27 eV per atom. Number 5: calculated total energy -6.494 eV/atom, formation energy (no corrections) -0.93 eV per atom. Number 6: calculated total energy -6.310 eV/atom, formation energy (no corrections) -0.89 eV per atom. Number 7: calculated total energy -7.740 eV/atom, formation energy (no corrections) -1.29 eV per atom. Number 8: calculated total energy -7.484 eV/atom, formation energy (no corrections) -1.17 eV per atom. Number 9: calculated total energy -7.012 eV/atom, formation energy (no corrections) -1.04 eV per atom. Number 10: calculated total energy -8.798 eV/atom, formation energy (no corrections) -1.37 eV per atom. Number 11: calculated total energy -9.258 eV/atom, formation energy (no corrections) -1.28 eV per atom.